# SrY2WO8 | Alexandria via LeMat-Bulk | PBE with a Hubbard U | optimized geometry
data_SrY2WO8
_cell_length_a 4.184
_cell_length_b 5.431
_cell_length_c 6.985
_cell_angle_alpha 90.42
_cell_angle_beta 106.90
_cell_angle_gamma 91.10
_symmetry_space_group_name_H-M 'P -1'
_symmetry_Int_Tables_number 2
loop_
_symmetry_equiv_pos_as_xyz
'x,y,z'
'-x,-y,-z'
loop_
_atom_site_label
_atom_site_type_symbol
_atom_site_fract_x
_atom_site_fract_y
_atom_site_fract_z
_atom_site_occupancy
Sr1 Sr 0.000 0.000 0.000 1
Y1 Y 0.380 0.482 0.705 1
W1 W 0.000 0.000 0.500 1
O1 O 0.177 0.509 0.998 1
O2 O 0.190 0.700 0.414 1
O3 O 0.193 0.231 0.357 1
O4 O 0.355 0.058 0.753 1
# electronic total energy: -7.703 eV per atom
# N(E_F): 0.00 states/eV/cell